Computed, not measured: crystalline BaZn3Ni2 at its relaxed geometry at the PBE-GGA level of DFT.

Output
Calculated total energy (eV per atom): -3.05
Total magnetization (μB/atom): 0.00

Lattice parameters (Å, degrees): 10.5179 7.9381 5.2218 90.00 90.00 90.00
Space group Cmcm (No. 63)
Unique sites:
Ba  0.0000  0.1612  0.2500 (multiplicity 4)
Zn  0.0000  0.4326  0.7500 (multiplicity 4)
Zn  0.2034  0.2293  0.7500 (multiplicity 8)
Ni  0.1965  0.5000  0.0000 (multiplicity 8)

***

Computed, not measured: crystalline Tm6Tl2Tc at its relaxed geometry at the PBE-GGA level of DFT.

Output
Calculated total energy (eV per atom): -4.90
Total magnetization (μB/atom): 0.08

Lattice parameters (Å, degrees): 8.3983 8.3983 3.9255 90.00 90.00 120.00
Space group P-62m (No. 189)
Unique sites:
Tm  0.0000  0.3843  0.0000 (multiplicity 3)
Tm  0.0000  0.7580  0.5000 (multiplicity 3)
Tl  0.3333  0.6667  0.5000 (multiplicity 2)
Tc  0.0000  0.0000  0.0000 (multiplicity 1)

***

Computed, not measured: crystalline TmLuCoSi2 at its relaxed geometry at the PBE-GGA level of DFT.

Output
Calculated total energy (eV per atom): -6.18
Total magnetization (μB/atom): 0.00

Lattice parameters (Å, degrees): 10.0949 4.1084 9.8328 90.00 118.15 90.00
Space group C2/m (No. 12)
Unique sites:
Tm  0.0038  0.0000  0.3299 (multiplicity 4)
Lu  0.1884  0.0000  0.1116 (multiplicity 4)
Co  0.2262  0.5000  0.3544 (multiplicity 4)
Si  0.0094  0.5000  0.8791 (multiplicity 4)
Si  0.1516  0.5000  0.5621 (multiplicity 4)

***

Computed, not measured: crystalline TcGe2Mo2 at its relaxed geometry at the PBE-GGA level of DFT.

Output
Calculated total energy (eV per atom): -7.48
Total magnetization (μB/atom): 0.36
Distance to the lowest polymorph of the same formula (meV/atom): 165.1

Lattice parameters (Å, degrees): 4.6287 4.6287 8.0787 90.00 90.00 90.00
Space group I4/mmm (No. 139)
Unique sites:
Tc  0.0000  0.0000  0.0000 (multiplicity 2)
Ge  0.0000  0.5000  0.2500 (multiplicity 4)
Mo  0.0000  0.0000  0.3607 (multiplicity 4)

***

Computed, not measured: crystalline Er2Mg5Hg at its relaxed geometry at the PBE-GGA level of DFT.

Output
Calculated total energy (eV per atom): -2.29
Total magnetization (μB/atom): 0.00

Lattice parameters (Å, degrees): 5.0932 6.4472 11.6425 90.00 90.00 90.00
Space group Amm2 (No. 38)
Unique sites:
Er  0.0000  0.0000  0.0000 (multiplicity 2)
Er  0.5000  0.0000  0.3557 (multiplicity 2)
Mg  0.0000  0.2463  0.7489 (multiplicity 4)
Mg  0.5000  0.0000  0.8372 (multiplicity 2)
Mg  0.5000  0.2487  0.1000 (multiplicity 4)
Hg  0.0000  0.0000  0.5066 (multiplicity 2)

***

Computed, not measured: crystalline Li3Mg2Au at its relaxed geometry at the PBE-GGA level of DFT.

Output
Calculated total energy (eV per atom): -2.30

Lattice parameters (Å, degrees): 4.8698 4.7170 5.0678 90.00 116.38 90.00
Space group Pm (No. 6)
Unique sites:
Li  0.0000  0.0000  0.0000 (multiplicity 1)
Li  0.2735  0.5000  0.2722 (multiplicity 1)
Li  0.6728  0.0000  0.2924 (multiplicity 1)
Mg  0.3678  0.0000  0.6711 (multiplicity 1)
Mg  0.9367  0.5000  0.6197 (multiplicity 1)
Au  0.6241  0.5000  0.9720 (multiplicity 1)

***

Computed, not measured: crystalline ThNiBr at its relaxed geometry at the PBE-GGA level of DFT.

Output
Calculated total energy (eV per atom): -5.88
Total magnetization (μB/atom): 0.00

Lattice parameters (Å, degrees): 7.3863 4.0244 11.7468 90.00 105.91 90.00
Space group C2/m (No. 12)
Unique sites:
Th  0.0190  0.0000  0.1560 (multiplicity 4)
Ni  0.1526  0.5000  0.9900 (multiplicity 4)
Br  0.2197  0.0000  0.6627 (multiplicity 4)

***

Computed, not measured: crystalline Nd2Sm2CIBr4 at its relaxed geometry at the PBE-GGA level of DFT.

Output
Calculated total energy (eV per atom): -5.02
Total magnetization (μB/atom): 0.04

Lattice parameters (Å, degrees): 18.2656 3.9696 8.6751 90.00 103.55 90.00
Space group C2/m (No. 12)
Unique sites:
Nd  0.1415  0.0000  0.0731 (multiplicity 4)
Sm  0.0010  0.5000  0.8056 (multiplicity 4)
C  0.0000  0.0000  0.0000 (multiplicity 2)
I  0.0000  0.0000  0.5000 (multiplicity 2)
Br  0.1629  0.5000  0.3330 (multiplicity 4)
Br  0.1690  0.5000  0.8318 (multiplicity 4)